DFT (PBE) results for a relaxed structure of BaNi3Ge2.

The structure in POSCAR format:
```
BaNi3Ge2
1.0
4.009 0.000 0.000
-2.004 7.733 0.179
0.000 -3.299 7.113
Ba Ni Ge
2 6 4
Cartesian
2.004 2.381 6.783 Ba
0.000 2.053 0.509 Ba
0.000 3.025 3.997 Ni
2.004 5.133 4.495 Ni
2.004 -0.763 4.496 Ni
0.000 5.197 2.796 Ni
0.000 -0.699 2.796 Ni
2.004 1.409 3.295 Ni
0.000 4.812 5.607 Ge
2.004 -0.378 1.685 Ge
2.004 3.730 2.635 Ge
0.000 0.704 4.656 Ge
```

Computed properties:
The value obtained for the total energy is -5.120 eV/atom. Its calculated density is 6.8 g/cm3. The calculation puts the magnetic moment at 0.00 Bohr magnetons per cell. The energy of formation is -0.3694 eV per atom.

***

DFT (PBE) results for a relaxed structure of BaNiGe.

The structure in POSCAR format:
```
BaNiGe
1.0
-2.191 -1.371 -3.355
0.192 -5.643 2.181
-4.123 3.071 4.111
Ge Ba Ni
2 2 2
Cartesian
-3.841 0.738 2.206 Ge
-2.282 -4.682 0.730 Ge
-1.012 -1.245 1.169 Ba
-5.110 -2.699 1.767 Ba
-4.119 0.060 -0.008 Ni
-2.003 -4.004 2.945 Ni
```

Computed properties:
The value obtained for the total energy is -4.594 eV/atom. Its calculated density is 5.8 g/cm3. The calculation puts the magnetic moment at 0.00 Bohr magnetons per cell. The energy of formation is -0.4868 eV per atom.

***

DFT (PBE) results for a relaxed structure of BaNiGe2.

The structure in POSCAR format:
```
BaNiGe2
1.0
-3.784 3.951 -2.870
-1.894 -5.552 1.287
0.917 2.626 5.837
Ba Ni Ge
2 2 4
Cartesian
-0.882 -1.000 1.396 Ba
-3.878 2.024 2.858 Ba
-2.468 4.360 0.999 Ni
-2.293 -3.336 3.255 Ni
-1.938 2.159 0.147 Ge
-3.788 -0.040 0.238 Ge
-2.823 -1.135 4.107 Ge
-0.973 1.064 4.016 Ge
```

Computed properties:
The value obtained for the total energy is -4.583 eV/atom. Its calculated density is 6.2 g/cm3. The calculation puts the magnetic moment at 0.00 Bohr magnetons per cell. The energy of formation is -0.3486 eV per atom.